1.
Below is K4CaTa3O12 after structural relaxation, with properties calculated at the PBE level.

Cell lengths 8.323, 8.323, 8.323 Å; angles 90.00, 90.00, 90.00 degrees
Space group Im-3m (No. 229)
Unique sites:
K: 0.250 0.250 0.250 (multiplicity 8)
Ca: 0.000 0.000 0.000 (multiplicity 2)
Ta: 0.000 0.000 0.500 (multiplicity 6)
O: 0.000 0.000 0.270 (multiplicity 12)
O: 0.000 0.250 0.500 (multiplicity 12)

## Properties
D(E_F): 0.758 states/eV/atom
ΔE_f (raw): -2.28 eV per atom

---

2.
Below is CeSc2NbO8 after structural relaxation, with properties calculated at the PBE level.

Cell lengths 6.847, 6.932, 6.695 Å; angles 90.00, 90.00, 90.00 degrees
Space group Cmmm (No. 65)
Unique sites:
Ce: 0.000 0.000 0.000 (multiplicity 2)
Sc: 0.000 0.500 0.259 (multiplicity 4)
Nb: 0.000 0.000 0.500 (multiplicity 2)
O: 0.000 0.194 0.277 (multiplicity 8)
O: 0.185 0.500 0.000 (multiplicity 4)
O: 0.204 0.500 0.500 (multiplicity 4)

## Properties
D(E_F): 0.528 states/eV/atom
ΔE_f (raw): -2.97 eV per atom

---

3.
Below is La11Hg9Pd4 after structural relaxation, with properties calculated at the PBE level.

Cell lengths 15.042, 22.645, 3.882 Å; angles 90.00, 90.00, 90.00 degrees
Space group Cmmm (No. 65)
Unique sites:
La: 0.000 0.000 0.000 (multiplicity 2)
La: 0.000 0.168 0.000 (multiplicity 4)
La: 0.000 0.372 0.000 (multiplicity 4)
La: 0.198 0.500 0.000 (multiplicity 4)
La: 0.240 0.172 0.000 (multiplicity 8)
Hg: 0.000 0.500 0.500 (multiplicity 2)
Hg: 0.106 0.265 0.500 (multiplicity 8)
Hg: 0.142 0.073 0.500 (multiplicity 8)
Pd: 0.152 0.400 0.500 (multiplicity 8)

## Properties
D(E_F): 0.870 states/eV/atom
E_form: -15.241 eV per formula unit

---

4.
Below is SrMgGeRh after structural relaxation, with properties calculated at the PBE level.

Cell lengths 4.189, 4.189, 11.832 Å; angles 90.00, 90.00, 90.00 degrees
Space group P4/nmm (No. 129, origin choice 2)
Unique sites:
Sr: 0.250 0.250 0.229 (multiplicity 2)
Mg: 0.250 0.750 0.500 (multiplicity 2)
Ge: 0.250 0.250 0.887 (multiplicity 2)
Rh: 0.250 0.750 0.000 (multiplicity 2)

## Properties
D(E_F): 0.466 states/eV/atom
E_form: -1.827 eV per formula unit

---

5.
Below is SmSc2Se after structural relaxation, with properties calculated at the PBE level.

Cell lengths 3.5600, 3.5600, 29.3688 Å; angles 90.00, 90.00, 120.00 degrees
Space group R-3m (No. 166, hexagonal axes)
Unique sites:
Sm: 0.0000 0.0000 0.0000 (multiplicity 3)
Sc: 0.0000 0.0000 0.1102 (multiplicity 6)
Se: 0.0000 0.0000 0.5000 (multiplicity 3)

## Properties
D(E_F): 1.559 states/eV/atom
Energy relative to the lowest polymorph listed for this composition: 215 meV/atom
ΔE_f (raw): -0.51 eV per atom

---

6.
Below is ZrTiAlCu2 after structural relaxation, with properties calculated at the PBE level.

Cell lengths 4.867, 4.867, 4.679 Å; angles 90.00, 90.00, 90.00 degrees
Space group P4/mmm (No. 123)
Unique sites:
Zr: 0.000 0.000 0.000 (multiplicity 1)
Ti: 0.000 0.000 0.500 (multiplicity 1)
Al: 0.500 0.500 0.500 (multiplicity 1)
Cu: 0.000 0.500 0.000 (multiplicity 2)

## Properties
D(E_F): 1.005 states/eV/atom
E_form: 6.287 eV per formula unit

---

7.
Below is SrMnAl2Zn after structural relaxation, with properties calculated at the PBE level.

Cell lengths 4.667, 4.667, 4.837 Å; angles 90.00, 90.00, 90.00 degrees
Space group P4/mmm (No. 123)
Unique sites:
Sr: 0.000 0.000 0.000 (multiplicity 1)
Mn: 0.500 0.500 0.500 (multiplicity 1)
Al: 0.000 0.500 0.500 (multiplicity 2)
Zn: 0.500 0.500 0.000 (multiplicity 1)

## Properties
D(E_F): 0.362 states/eV/atom
E_form: -0.375 eV per formula unit

---

8.
Below is Li4AsAu2 after structural relaxation, with properties calculated at the PBE level.

Cell lengths 7.756, 4.454, 7.422 Å; angles 90.00, 111.39, 90.00 degrees
Space group C2/m (No. 12)
Unique sites:
Li: 0.113 0.000 0.338 (multiplicity 4)
Li: 0.130 0.500 0.888 (multiplicity 4)
As: 0.000 0.500 0.500 (multiplicity 2)
Au: 0.243 0.000 0.730 (multiplicity 4)

## Properties
D(E_F): 0.263 states/eV/atom
E_form: -3.199 eV per formula unit

---

9.
Below is AcTb4Nd15 after structural relaxation, with properties calculated at the PBE level.

Cell lengths 5.199, 5.199, 25.934 Å; angles 90.00, 90.00, 90.00 degrees
Space group P4/mmm (No. 123)
Unique sites:
Ac: 0.000 0.000 0.000 (multiplicity 1)
Tb: 0.000 0.000 0.203 (multiplicity 2)
Tb: 0.000 0.000 0.401 (multiplicity 2)
Nd: 0.000 0.500 0.105 (multiplicity 4)
Nd: 0.000 0.500 0.303 (multiplicity 4)
Nd: 0.000 0.500 0.500 (multiplicity 2)
Nd: 0.500 0.500 0.000 (multiplicity 1)
Nd: 0.500 0.500 0.205 (multiplicity 2)
Nd: 0.500 0.500 0.401 (multiplicity 2)

## Properties
D(E_F): 1.474 states/eV/atom
E_form: 0.373 eV per formula unit

---

10.
Below is Be3C after structural relaxation, with properties calculated at the PBE level.

Cell lengths 2.3795, 2.3795, 19.1573 Å; angles 90.00, 90.00, 120.00 degrees
Space group R-3m (No. 166, hexagonal axes)
Unique sites:
Be: 0.0000 0.0000 0.0000 (multiplicity 3)
Be: 0.0000 0.0000 0.2338 (multiplicity 6)
C: 0.0000 0.0000 0.5000 (multiplicity 3)

## Properties
D(E_F): 0.147 states/eV/atom
E_form: 2.733 eV per formula unit
Energy relative to the lowest polymorph listed for this composition: 476 meV/atom